Arrangement A

KSe2IN | PBE | optimized geometry

Cell and atoms, written as extended XYZ:
```
5
Lattice="5.7379 0.0000 0.0000 0.0000 5.7379 0.0000 0.0000 0.0000 4.0639" Properties=species:S:1:pos:R:3 pbc="T T T"
K 0.0000 0.0000 0.0000
Se 0.0000 2.8690 2.0319
Se 2.8690 0.0000 2.0319
I 2.8690 2.8690 2.0319
N 2.8690 2.8690 0.0000
```

## Properties
ρ, kg/m3: 4194
SG: P4/mmm, No. 123

Arrangement B

KSe2IN | PBE | optimized geometry

Cell and atoms, written as extended XYZ:
```
5
Lattice="6.3373 0.0000 0.0000 0.0000 6.3373 0.0000 0.0000 0.0000 5.4049" Properties=species:S:1:pos:R:3 pbc="T T T"
K 0.0000 0.0000 0.0000
Se 0.0000 3.1687 0.0000
Se 3.1687 0.0000 0.0000
I 3.1687 3.1687 2.7024
N 0.0000 0.0000 2.7024
```

## Properties
ρ, kg/m3: 2585
SG: P4/mmm, No. 123

Most stable structure: arrangement A

Arrangement A

KSeIN2 | PBE | optimized geometry

Cell and atoms, written as extended XYZ:
```
5
Lattice="4.3738 0.0000 0.0000 0.0000 4.3738 0.0000 0.0000 0.0000 5.5682" Properties=species:S:1:pos:R:3 pbc="T T T"
K 0.0000 0.0000 0.0000
Se 2.1869 2.1869 0.0000
I 2.1869 2.1869 2.7841
N 0.0000 2.1869 2.7841
N 2.1869 0.0000 2.7841
```

## Properties
ρ, kg/m3: 4255
SG: P4/mmm, No. 123

Arrangement B

KSeIN2 | PBE | optimized geometry

Cell and atoms, written as extended XYZ:
```
5
Lattice="4.3210 0.0000 0.0000 0.0000 4.3210 0.0000 0.0000 0.0000 7.2814" Properties=species:S:1:pos:R:3 pbc="T T T"
K 0.0000 0.0000 0.0000
Se 2.1605 2.1605 3.6407
I 2.1605 2.1605 0.0000
N 0.0000 2.1605 3.6407
N 2.1605 0.0000 3.6407
```

## Properties
ρ, kg/m3: 3334
SG: P4/mmm, No. 123

Arrangement C

KSeIN2 | PBE | optimized geometry

Cell and atoms, written as extended XYZ:
```
5
Lattice="4.9954 0.0000 0.0000 0.0000 4.9954 0.0000 0.0000 0.0000 6.5452" Properties=species:S:1:pos:R:3 pbc="T T T"
K 0.0000 0.0000 0.0000
Se 0.0000 0.0000 3.2726
I 2.4977 2.4977 3.2726
N 0.0000 2.4977 0.0000
N 2.4977 0.0000 0.0000
```

## Properties
ρ, kg/m3: 2775
SG: P4/mmm, No. 123

Most stable structure: arrangement B

Arrangement A

KSiIN2 | PBE | optimized geometry

Cell and atoms, written as extended XYZ:
```
5
Lattice="3.9971 0.0000 0.0000 0.0000 3.9971 0.0000 0.0000 0.0000 5.7744" Properties=species:S:1:pos:R:3 pbc="T T T"
K 0.0000 0.0000 0.0000
Si 1.9985 1.9985 2.8872
I 1.9985 1.9985 0.0000
N 0.0000 1.9985 2.8872
N 1.9985 0.0000 2.8872
```

## Properties
ρ, kg/m3: 3998
SG: P4/mmm, No. 123

Arrangement B

KSiIN2 | PBE | optimized geometry

Cell and atoms, written as extended XYZ:
```
5
Lattice="5.0196 0.0000 0.0000 0.0000 5.0196 0.0000 0.0000 0.0000 6.7699" Properties=species:S:1:pos:R:3 pbc="T T T"
K 0.0000 0.0000 0.0000
Si 2.5098 2.5098 3.3850
I 0.0000 0.0000 3.3850
N 0.0000 2.5098 0.0000
N 2.5098 0.0000 0.0000
```

## Properties
ρ, kg/m3: 2162
SG: P4/mmm, No. 123

Most stable structure: arrangement A

Arrangement A

KSnIN2 | PBE | optimized geometry

Cell and atoms, written as extended XYZ:
```
5
Lattice="5.0753 0.0000 0.0000 0.0000 5.0753 0.0000 0.0000 0.0000 6.5575" Properties=species:S:1:pos:R:3 pbc="T T T"
K 0.0000 0.0000 0.0000
Sn 2.5376 2.5376 3.2787
I 0.0000 0.0000 3.2787
N 0.0000 2.5376 0.0000
N 2.5376 0.0000 0.0000
```

## Properties
ρ, kg/m3: 3074
SG: P4/mmm, No. 123

Arrangement B

KSnIN2 | PBE | optimized geometry

Cell and atoms, written as extended XYZ:
```
5
Lattice="4.4325 0.0000 0.0000 0.0000 4.4325 0.0000 0.0000 0.0000 6.3595" Properties=species:S:1:pos:R:3 pbc="T T T"
K 0.0000 0.0000 0.0000
Sn 2.2163 2.2163 3.1797
I 2.2163 2.2163 0.0000
N 0.0000 2.2163 3.1797
N 2.2163 0.0000 3.1797
```

## Properties
ρ, kg/m3: 4156
SG: P4/mmm, No. 123

Most stable structure: arrangement B

Arrangement A

KTcI2N | PBE | optimized geometry

Cell and atoms, written as extended XYZ:
```
5
Lattice="5.8323 0.0000 0.0000 0.0000 5.8323 0.0000 0.0000 0.0000 3.8262" Properties=species:S:1:pos:R:3 pbc="T T T"
K 0.0000 0.0000 0.0000
Tc 2.9161 2.9161 1.9131
I 0.0000 2.9161 1.9131
I 2.9161 0.0000 1.9131
N 2.9161 2.9161 0.0000
```

## Properties
ρ, kg/m3: 5166
SG: P4/mmm, No. 123

Arrangement B

KTcI2N | PBE | optimized geometry

Cell and atoms, written as extended XYZ:
```
5
Lattice="6.4003 0.0000 0.0000 0.0000 6.4003 0.0000 0.0000 0.0000 4.9258" Properties=species:S:1:pos:R:3 pbc="T T T"
K 0.0000 0.0000 0.0000
Tc 3.2002 3.2002 2.4629
I 0.0000 3.2002 0.0000
I 3.2002 0.0000 0.0000
N 0.0000 0.0000 2.4629
```

## Properties
ρ, kg/m3: 3332
SG: P4/mmm, No. 123

Most stable structure: arrangement A

Arrangement A

KTeIN2 | PBE | optimized geometry

Cell and atoms, written as extended XYZ:
```
5
Lattice="4.6476 0.0000 0.0000 0.0000 4.6476 0.0000 0.0000 0.0000 6.0005" Properties=species:S:1:pos:R:3 pbc="T T T"
K 0.0000 0.0000 0.0000
Te 2.3238 2.3238 0.0000
I 2.3238 2.3238 3.0002
N 0.0000 2.3238 3.0002
N 2.3238 0.0000 3.0002
```

## Properties
ρ, kg/m3: 4120
SG: P4/mmm, No. 123

Arrangement B

KTeIN2 | PBE | optimized geometry

Cell and atoms, written as extended XYZ:
```
5
Lattice="5.0291 0.0000 0.0000 0.0000 5.0291 0.0000 0.0000 0.0000 7.1715" Properties=species:S:1:pos:R:3 pbc="T T T"
K 0.0000 0.0000 0.0000
Te 0.0000 0.0000 3.5857
I 2.5146 2.5146 3.5857
N 0.0000 2.5146 0.0000
N 2.5146 0.0000 0.0000
```

## Properties
ρ, kg/m3: 2944
SG: P4/mmm, No. 123

Arrangement C

KTeIN2 | PBE | optimized geometry

Cell and atoms, written as extended XYZ:
```
5
Lattice="4.3238 0.0000 0.0000 0.0000 4.3238 0.0000 0.0000 0.0000 6.9360" Properties=species:S:1:pos:R:3 pbc="T T T"
K 0.0000 0.0000 0.0000
Te 2.1619 2.1619 3.4680
I 2.1619 2.1619 0.0000
N 0.0000 2.1619 3.4680
N 2.1619 0.0000 3.4680
```

## Properties
ρ, kg/m3: 4119
SG: P4/mmm, No. 123

Most stable structure: arrangement C